Entry 1:
ScTe3I | PBE-GGA | optimized geometry

a b c (Å): 5.553 5.553 5.553
angles (deg): 90.00 90.00 90.00
Atoms (fractional coordinates):
1 Sc 0.000 0.000 0.000
2 Te 0.000 0.000 0.500
3 Te 0.000 0.500 0.000
4 Te 0.500 0.000 0.000
5 I 0.500 0.500 0.500

Values from the calculation:
- magnetization (μB/atom) = 0.00
- energy relative to the elements, uncorrected (eV/f.u.) = -0.83
- E (eV per formula unit) = -18.14
- mass density (g/cm3) = 5.38

***

Entry 2:
K4TeSe | PBE-GGA | optimized geometry

a b c (Å): 6.628 6.628 6.628
angles (deg): 60.00 60.00 60.00
Atoms (fractional coordinates):
1 K 0.125 0.125 0.125
2 K 0.125 0.125 0.626
3 K 0.125 0.626 0.125
4 K 0.626 0.125 0.125
5 Te 0.500 0.500 0.500
6 Se 0.750 0.750 0.750

Values from the calculation:
- magnetization (μB/atom) = 0.00
- energy relative to the elements, uncorrected (eV/f.u.) = -1.61
- E (eV per formula unit) = -12.63
- mass density (g/cm3) = 2.93

***

Entry 3:
ScGa2 | PBE-GGA | optimized geometry

a b c (Å): 5.475 5.508 4.260
angles (deg): 90.00 112.95 90.00
Atoms (fractional coordinates):
1 Sc 0.000 0.000 0.000
2 Sc 0.500 0.500 0.000
3 Ga 0.138 0.500 0.322
4 Ga 0.362 0.000 0.678
5 Ga 0.638 0.000 0.322
6 Ga 0.862 0.500 0.678

Values from the calculation:
- magnetization (μB/atom) = 0.00
- E (eV per formula unit) = -13.29
- mass density (g/cm3) = 5.18

***

Entry 4:
Al2TlPt | PBE-GGA | optimized geometry

a b c (Å): 3.036 4.150 13.090
angles (deg): 90.00 90.00 90.00
Atoms (fractional coordinates):
1 Al 0.000 0.000 0.000
2 Al 0.000 0.500 0.172
3 Al 0.500 0.000 0.672
4 Al 0.500 0.500 0.500
5 Tl 0.000 0.000 0.372
6 Tl 0.500 0.500 0.872
7 Pt 0.000 0.500 0.656
8 Pt 0.500 0.000 0.156

Values from the calculation:
- magnetization (μB/atom) = 0.00
- E (eV per formula unit) = -17.04
- mass density (g/cm3) = 9.13

***

Entry 5:
Pr2Ho2Tm15 | PBE-GGA | optimized geometry

a b c (Å): 8.634 8.634 8.634
angles (deg): 80.05 80.05 80.05
Atoms (fractional coordinates):
1 Pr 0.118 0.118 0.118
2 Pr 0.882 0.882 0.882
3 Ho 0.331 0.331 0.331
4 Ho 0.669 0.669 0.669
5 Tm 0.000 0.000 0.500
6 Tm 0.000 0.306 0.694
7 Tm 0.000 0.500 0.000
8 Tm 0.000 0.694 0.306
9 Tm 0.153 0.634 0.634
10 Tm 0.306 0.000 0.694
11 Tm 0.306 0.694 0.000
12 Tm 0.366 0.366 0.847
13 Tm 0.366 0.847 0.366
14 Tm 0.500 0.000 0.000
15 Tm 0.634 0.153 0.634
16 Tm 0.634 0.634 0.153
17 Tm 0.694 0.000 0.306
18 Tm 0.694 0.306 0.000
19 Tm 0.847 0.366 0.366

Values from the calculation:
- magnetization (μB/atom) = 0.00
- E (eV per formula unit) = -80.21
- mass density (g/cm3) = 8.46

***

Entry 6:
CuReRu2 | PBE-GGA | optimized geometry

a b c (Å): 4.438 4.438 2.855
angles (deg): 90.00 90.00 90.00
Atoms (fractional coordinates):
1 Cu 0.000 0.000 0.000
2 Re 0.500 0.500 0.000
3 Ru 0.000 0.500 0.500
4 Ru 0.500 0.000 0.500

Values from the calculation:
- magnetization (μB/atom) = 0.00
- E (eV per formula unit) = -33.60
- mass density (g/cm3) = 13.35

***

Entry 7:
Cs2KHgAs | PBE-GGA | optimized geometry

a b c (Å): 7.160 7.160 6.445
angles (deg): 90.00 90.00 90.00
Atoms (fractional coordinates):
1 Cs 0.000 0.500 0.000
2 Cs 0.500 0.000 0.000
3 K 0.000 0.000 0.500
4 Hg 0.500 0.500 0.500
5 As 0.000 0.000 0.000

Values from the calculation:
- magnetization (μB/atom) = 0.00
- E (eV per formula unit) = -8.57
- mass density (g/cm3) = 2.92

***

Entry 8:
KMnZn3 | PBE-GGA | optimized geometry

a b c (Å): 5.925 5.925 5.925
angles (deg): 90.00 90.00 90.00
Atoms (fractional coordinates):
1 K 0.000 0.000 0.000
2 Mn 0.500 0.500 0.500
3 Zn 0.000 0.000 0.500
4 Zn 0.000 0.500 0.000
5 Zn 0.500 0.000 0.000

Values from the calculation:
- magnetization (μB/atom) = 0.89
- E (eV per formula unit) = -7.74
- mass density (g/cm3) = 2.32

***

Entry 9:
K2AlBr | PBE-GGA | optimized geometry

a b c (Å): 7.698 9.575 3.830
angles (deg): 90.00 90.00 90.00
Atoms (fractional coordinates):
1 K 0.250 0.250 0.000
2 K 0.250 0.750 0.000
3 K 0.750 0.250 0.000
4 K 0.750 0.750 0.000
5 Al 0.000 0.000 0.500
6 Al 0.500 0.500 0.500
7 Br 0.000 0.500 0.500
8 Br 0.500 0.000 0.500

Values from the calculation:
- magnetization (μB/atom) = 0.00
- energy relative to the elements, uncorrected (eV/f.u.) = -1.50
- E (eV per formula unit) = -9.11
- mass density (g/cm3) = 2.18

***

Entry 10:
NdEr2In | PBE-GGA | optimized geometry

a b c (Å): 3.600 3.600 9.162
angles (deg): 90.00 90.00 90.00
Atoms (fractional coordinates):
1 Nd 0.000 0.000 0.000
2 Er 0.500 0.500 0.278
3 Er 0.500 0.500 0.722
4 In 0.000 0.000 0.500

Values from the calculation:
- magnetization (μB/atom) = 0.00
- E (eV per formula unit) = -17.59
- mass density (g/cm3) = 8.30

***

Entry 11:
In8Cu7Se16 | PBE-GGA | optimized geometry

a b c (Å): 10.945 10.945 8.249
angles (deg): 112.11 112.11 65.11
Atoms (fractional coordinates):
1 In 0.000 0.000 0.000
2 In 0.126 0.621 0.119
3 In 0.249 0.256 0.751
4 In 0.379 0.874 0.881
5 In 0.508 0.492 0.500
6 In 0.626 0.130 0.626
7 In 0.744 0.751 0.249
8 In 0.870 0.374 0.374
9 Cu 0.001 0.999 0.500
10 Cu 0.128 0.621 0.632
11 Cu 0.251 0.251 0.251
12 Cu 0.379 0.872 0.368
13 Cu 0.626 0.133 0.131
14 Cu 0.749 0.749 0.749
15 Cu 0.867 0.374 0.869
16 Se 0.007 0.259 0.117
17 Se 0.119 0.865 0.726
18 Se 0.135 0.881 0.274
19 Se 0.243 0.493 0.385
20 Se 0.267 0.508 0.874
21 Se 0.368 0.116 0.476
22 Se 0.384 0.134 0.023
23 Se 0.492 0.733 0.126
24 Se 0.507 0.757 0.615
25 Se 0.613 0.374 0.219
26 Se 0.626 0.387 0.781
27 Se 0.741 0.993 0.883
28 Se 0.759 0.007 0.366
29 Se 0.866 0.616 0.977
30 Se 0.884 0.632 0.524
31 Se 0.993 0.241 0.634

Values from the calculation:
- magnetization (μB/atom) = 0.00
- energy relative to the elements, uncorrected (eV/f.u.) = -13.65
- E (eV per formula unit) = -119.99
- mass density (g/cm3) = 5.44

***

Entry 12:
Zr2NiAg2S6 | PBE-GGA | optimized geometry

a b c (Å): 6.277 6.277 6.476
angles (deg): 90.00 90.00 120.00
Atoms (fractional coordinates):
1 Zr 0.333 0.667 0.000
2 Zr 0.667 0.333 0.000
3 Ni 0.000 0.000 0.000
4 Ag 0.333 0.667 0.500
5 Ag 0.667 0.333 0.500
6 S 0.000 0.319 0.224
7 S 0.000 0.681 0.776
8 S 0.319 0.000 0.224
9 S 0.319 0.319 0.776
10 S 0.681 0.000 0.776
11 S 0.681 0.681 0.224

Values from the calculation:
- magnetization (μB/atom) = 0.18
- energy relative to the elements, uncorrected (eV/f.u.) = -8.97
- E (eV per formula unit) = -62.31
- mass density (g/cm3) = 4.88